Here is a relaxed structure of Ga3AgAu6 from the Alexandria database. Energies are from PBE-GGA.

a = 3.123 Å, b = 10.461 Å, c = 11.301 Å
α = 101.93°, β = 90.00°, γ = 90.00°
Element x y z (fractional)
Ga: 0.250 0.917 0.894
Au: 0.250 0.262 0.706
Ga: 0.750 0.652 0.504
Au: 0.750 0.495 0.663
Au: 0.250 0.174 0.941
Au: 0.750 0.121 0.485
Ag: 0.750 0.035 0.717
Ag: 0.250 0.965 0.283
Au: 0.750 0.826 0.059
Ga: 0.750 0.083 0.106
Au: 0.750 0.387 0.115
Au: 0.250 0.505 0.337
Ga: 0.250 0.603 0.115
Au: 0.250 0.879 0.515
Au: 0.750 0.771 0.731
Au: 0.250 0.229 0.269
Au: 0.750 0.738 0.294
Au: 0.250 0.613 0.885
Ga: 0.250 0.348 0.496
Ga: 0.750 0.397 0.885

## Properties
E_form in meV/atom: -106.2
DFT total energy in eV for the cell shown: -65.32
Magnetic moment in μB/cell: 0.00
Space-group type: P2_1/m (11)

Here is a relaxed structure of GeOsS2 from the Alexandria database. Energies are from PBE-GGA.

a = 7.968 Å, b = 7.968 Å, c = 7.968 Å
α = 25.43°, β = 25.43°, γ = 25.43°
Element x y z (fractional)
S: 0.886 0.886 0.886
S: 0.114 0.114 0.114
Os: 0.500 0.500 0.500
Ge: 0.000 0.000 0.000

## Properties
Formation energy from raw total energies in kJ/mol of formula units: 51
DFT total energy in eV for the cell shown: -23.58
Magnetic moment in μB/cell: 0.00
Space-group type: R-3m (166)

Here is a relaxed structure of Hg2SCl2 from the Alexandria database. Energies are from PBE-GGA.

a = 7.003 Å, b = 7.238 Å, c = 8.635 Å
α = 111.58°, β = 90.00°, γ = 118.93°
Element x y z (fractional)
Hg: 0.180 0.361 0.583
S: 0.655 0.309 0.157
S: 0.345 0.691 0.843
Hg: 0.493 0.986 0.747
Hg: 0.507 0.014 0.253
Hg: 0.820 0.639 0.417
Cl: 0.974 0.949 0.694
Cl: 0.347 0.695 0.328
Cl: 0.026 0.051 0.306
Cl: 0.653 0.305 0.672

## Properties
Formation energy from raw total energies in kJ/mol of formula units: -193
DFT total energy in eV for the cell shown: -20.86
Magnetic moment in μB/cell: 0.00
Space-group type: C2/m (12)